VAg3O4 | PBE with a Hubbard U | relaxed

Cell: 7.0539 7.1212 5.3210 Å, 90.00 90.00 90.00°
With the nearest neighbours (Å) after each atom.
Space group Imm2 (No. 44)
One atom of each set of equivalent atoms:
V (0.0000, 0.0000, 0.0000) (multiplicity 2)  4 O 1.73-1.76
Ag (0.0000, 0.5000, 0.5865) (multiplicity 2)  2 O 2.13
Ag (0.2157, 0.5000, 0.0978) (multiplicity 4)  1 O 2.26
O (0.0000, 0.1936, 0.8030) (multiplicity 4)  1 V 1.73
O (0.2070, 0.0000, 0.1853) (multiplicity 4)  1 V 1.76

## Properties
- VASP energy (eV per atom) = -5.2000
- relative energy among the computed polymorphs (eV/atom) = 0.167
- DOS at the Fermi energy (states/eV/atom) = 0.003